1.
Below is crystalline Rb3HI6 at its relaxed geometry, with properties calculated at the PBE-GGA level.

Structure (POSCAR):
```
Rb3HI6
1.0
8.165 0.000 0.000
0.000 8.165 0.000
4.082 4.082 7.535
I Rb H
6 3 1
direct
0.296 0.296 0.000
0.764 0.764 0.471
0.704 0.704 0.000
0.236 0.236 0.529
0.704 0.296 0.000
0.296 0.704 0.000
0.250 0.750 0.500
0.750 0.250 0.500
0.000 0.000 0.000
0.500 0.500 0.000
```

Results
The value obtained for the total magnetic moment is 0.00 μB per formula unit. Its calculated total energy is -20.62 eV/cell. The symmetry is I4/mmm.


2.
Below is crystalline LiCeSi2 at its relaxed geometry, with properties calculated at the PBE-GGA level.

Structure (POSCAR):
```
LiCeSi2
1.0
4.169 0.000 0.000
0.000 6.798 0.000
0.000 0.000 10.925
Si Li Ce
8 4 4
direct
0.750 0.817 0.861
0.250 0.531 0.166
0.750 0.317 0.639
0.750 0.469 0.834
0.750 0.969 0.666
0.250 0.183 0.139
0.250 0.031 0.334
0.250 0.683 0.361
0.250 0.632 0.943
0.750 0.368 0.057
0.250 0.132 0.557
0.750 0.868 0.443
0.750 0.357 0.348
0.750 0.857 0.152
0.250 0.143 0.848
0.250 0.643 0.652
```

Results
The value obtained for the total magnetic moment is 0.89 μB per formula unit. Its calculated total energy is -83.45 eV/cell. The symmetry is Pnma. The calculation puts the formation energy from raw total energies at -0.542 eV per atom.


3.
Below is crystalline Dy4CuBi at its relaxed geometry, with properties calculated at the PBE-GGA level.

Structure (POSCAR):
```
Dy4CuBi
1.0
-0.692 -5.410 0.402
0.315 -0.513 -6.372
10.229 1.485 0.386
Dy Bi Cu
8 2 2
direct
0.549 0.322 0.098
0.299 0.071 0.598
0.299 0.573 0.598
0.107 0.822 0.213
0.893 0.322 0.787
0.451 0.822 0.902
0.701 0.571 0.402
0.701 0.073 0.402
0.853 0.822 0.707
0.147 0.322 0.293
0.585 0.823 0.170
0.415 0.323 0.830
```

Results
The value obtained for the total magnetic moment is 0.00 μB per formula unit. Its calculated total energy is -55.14 eV/cell. The formation energy is -1.19 eV per formula unit. The symmetry is Cmc2_1.


4.
Below is crystalline CsBa2SrH at its relaxed geometry, with properties calculated at the PBE-GGA level.

Structure (POSCAR):
```
CsBa2SrH
1.0
6.091 0.000 0.000
0.000 6.091 0.000
0.000 0.000 6.756
H Sr Cs Ba
1 1 1 2
direct
0.000 0.000 0.000
0.500 0.500 0.500
0.000 0.000 0.500
0.500 0.000 0.000
0.000 0.500 0.000
```

Results
The value obtained for the total magnetic moment is 0.00 μB per formula unit. Its calculated total energy is -9.67 eV/cell. The symmetry is P4/mmm.


5.
Below is crystalline CdGa2Pt2 at its relaxed geometry, with properties calculated at the PBE-GGA level.

Structure (POSCAR):
```
CdGa2Pt2
1.0
-5.480 -2.939 -4.505
3.567 -6.800 0.097
-1.482 -0.745 2.289
Ga Pt Cd
4 4 2
direct
0.627 0.127 0.000
0.373 0.873 0.000
0.873 0.627 0.000
0.127 0.373 0.000
0.330 0.170 0.500
0.670 0.830 0.500
0.170 0.670 0.500
0.830 0.330 0.500
0.500 0.500 0.000
0.000 0.000 0.000
```

Results
The value obtained for the total magnetic moment is 0.00 μB per formula unit. Its calculated total energy is -42.38 eV/cell. The formation energy is -2.14 eV per formula unit. The symmetry is P4/mbm.


6.
Below is crystalline BaPmPr4Se8 at its relaxed geometry, with properties calculated at the PBE-GGA level.

Structure (POSCAR):
```
BaPmPr4Se8
1.0
8.905 0.000 0.000
4.452 7.712 0.000
4.452 2.571 7.228
Se Pr Pm Ba
8 4 1 1
direct
0.757 0.757 0.728
0.233 0.797 0.738
0.226 0.760 0.254
0.233 0.233 0.738
0.760 0.760 0.254
0.760 0.226 0.254
0.797 0.233 0.738
0.235 0.235 0.295
0.625 0.625 0.126
0.002 0.002 0.501
0.495 0.002 0.501
0.002 0.495 0.501
0.002 0.002 0.995
0.376 0.376 0.873
```

Results
The value obtained for the total magnetic moment is 0.00 μB per formula unit. Its calculated total energy is -78.80 eV/cell. The symmetry is R3m. The calculation puts the formation energy from raw total energies at -1.795 eV per atom.